VASP calculation (PBE) on a geometry-optimized SrTl2Bi structure.

Properties
The calculation puts the formation enthalpy at 0 K at -0.42 eV per atom. As for the density: 8.978 g cm⁻³. The final energy comes out at -11.969 eV per cell. The calculation puts the size of the total moment at 0.00 μB/f.u.

Unit cell a=4.948 b=4.948 c=5.328 alpha=90.00 beta=90.00 gamma=90.00
Space group P4/mmm (No. 123)
Inequivalent atoms, fractional coordinates:
Sr 0.000 0.000 0.000 [1 per cell]
Tl 0.000 0.500 0.500 [2 per cell]
Bi 0.500 0.500 0.000 [1 per cell]